Entry 1:
Computed, not measured: crystalline CrMo7 at its relaxed geometry at the GGA-PBEsol level of DFT.

abc: 8.7440 8.7440 10.7347
angles: 90.00 90.00 120.00
Space group R-3m (No. 166, hexagonal axes)
One atom of each set of equivalent atoms:
Cr 0.0000 0.0000 0.1241
Mo 0.0000 0.0000 0.3728
Mo 0.0028 0.5014 0.8743
Mo 0.0035 0.5018 0.6247

Calculated values
magnetic moment = 0.01 Bohr magnetons per cell
formation energy = 43 meV/atom
calculated volume = 710.8 Å³ per cell


Entry 2:
Computed, not measured: crystalline Cr4Cu3P6O24 at its relaxed geometry at the GGA-PBEsol level of DFT.

abc: 6.2170 7.8514 9.2550
angles: 107.12 107.45 100.93
Space group P-1 (No. 2)
One atom of each set of equivalent atoms:
Cr 0.0475 0.2100 0.0222
Cr 0.3790 0.9603 0.6088
Cu 0.0000 0.5000 0.5000
Cu 0.2931 0.3235 0.8061
P 0.0995 0.1053 0.3378
P 0.2234 0.6485 0.2615
P 0.3962 0.7382 0.8650
O 0.0074 0.6863 0.1493
O 0.0783 0.0505 0.1544
O 0.1163 0.0244 0.6561
O 0.1323 0.3083 0.4183
O 0.2037 0.4433 0.1980
O 0.2237 0.7090 0.4375
O 0.2471 0.7951 0.9647
O 0.2773 0.5344 0.7390
O 0.3200 0.0474 0.4219
O 0.3590 0.2372 0.0049
O 0.4409 0.8665 0.7741
O 0.4565 0.7646 0.2598

Calculated values
magnetic moment = 13.17 Bohr magnetons per cell
calculated volume = 392.3 Å³ per cell


Entry 3:
Computed, not measured: crystalline YCd2Cu2 at its relaxed geometry at the GGA-PBEsol level of DFT.

abc: 4.0043 4.0043 11.7852
angles: 90.00 90.00 90.00
Space group I4/mmm (No. 139)
One atom of each set of equivalent atoms:
Y 0.0000 0.0000 0.0000
Cd 0.0000 0.5000 0.2500
Cu 0.0000 0.0000 0.4018

Calculated values
magnetic moment = 0.00 Bohr magnetons per cell
formation energy = -164 meV/atom
calculated volume = 189.0 Å³ per cell


Entry 4:
Computed, not measured: crystalline SrMg30CuO32 at its relaxed geometry at the GGA-PBEsol level of DFT.

abc: 8.5452 8.5452 8.4602
angles: 90.00 90.00 90.00
Space group P4/mmm (No. 123)
One atom of each set of equivalent atoms:
Sr 0.0000 0.0000 0.0000
Mg 0.0000 0.2562 0.2560
Mg 0.0000 0.5000 0.0000
Mg 0.0000 0.5000 0.5000
Mg 0.2494 0.2494 0.5000
Mg 0.2506 0.5000 0.2509
Mg 0.2549 0.2549 0.0000
Mg 0.5000 0.5000 0.0000
Mg 0.5000 0.5000 0.5000
Cu 0.0000 0.0000 0.5000
O 0.0000 0.0000 0.2743
O 0.0000 0.2603 0.5000
O 0.0000 0.2692 0.0000
O 0.0000 0.5000 0.2522
O 0.2493 0.2493 0.2498
O 0.2516 0.5000 0.5000
O 0.2536 0.5000 0.0000
O 0.5000 0.5000 0.2505

Calculated values
magnetic moment = 1.01 Bohr magnetons per cell
calculated volume = 617.8 Å³ per cell


Entry 5:
Computed, not measured: crystalline BaNd2Mo4O16 at its relaxed geometry at the GGA-PBEsol level of DFT.

abc: 5.2982 12.7318 19.3651
angles: 90.00 91.42 90.00
Space group C2/c (No. 15)
One atom of each set of equivalent atoms:
Ba 0.0000 0.0337 0.2500
Nd 0.0022 0.1472 0.4667
Mo 0.0067 0.2573 0.8490
Mo 0.0104 0.4405 0.0928
O 0.1277 0.4150 0.3301
O 0.1326 0.1370 0.8249
O 0.1509 0.3300 0.0469
O 0.1577 0.2409 0.5692
O 0.2081 0.3019 0.7127
O 0.2272 0.4554 0.6058
O 0.2412 0.1499 0.1376
O 0.2492 0.4830 0.4638

Calculated values
magnetic moment = 0.00 Bohr magnetons per cell
calculated volume = 1305.9 Å³ per cell


Entry 6:
Computed, not measured: crystalline MnCoNi2 at its relaxed geometry at the GGA-PBEsol level of DFT.

abc: 4.9272 7.0488 2.4647
angles: 90.00 90.00 90.00
Space group Cmmm (No. 65)
One atom of each set of equivalent atoms:
Mn 0.0000 0.0000 0.0000
Co 0.0000 0.5000 0.0000
Ni 0.2500 0.2500 0.5000

Calculated values
magnetic moment = 10.85 Bohr magnetons per cell
formation energy = 26 meV/atom
calculated volume = 85.6 Å³ per cell


Entry 7:
Computed, not measured: crystalline TiNb2BiIr at its relaxed geometry at the GGA-PBEsol level of DFT.

abc: 4.8846 4.8846 4.7016
angles: 90.00 90.00 90.00
Space group P4/mmm (No. 123)
One atom of each set of equivalent atoms:
Ti 0.0000 0.0000 0.0000
Nb 0.0000 0.5000 0.5000
Bi 0.5000 0.5000 0.0000
Ir 0.0000 0.0000 0.5000

Calculated values
magnetic moment = 0.00 Bohr magnetons per cell
formation energy = 548 meV/atom
calculated volume = 112.2 Å³ per cell


Entry 8:
Computed, not measured: crystalline Ca2ZnFe at its relaxed geometry at the GGA-PBEsol level of DFT.

abc: 4.3780 4.3780 8.8441
angles: 90.00 90.00 90.00
Space group I-4m2 (No. 119)
One atom of each set of equivalent atoms:
Ca 0.0000 0.0000 0.0000
Ca 0.0000 0.5000 0.2500
Zn 0.0000 0.5000 0.7500
Fe 0.0000 0.0000 0.5000

Calculated values
magnetic moment = 4.09 Bohr magnetons per cell
formation energy = 411 meV/atom
calculated volume = 169.5 Å³ per cell


Entry 9:
Computed, not measured: crystalline AlN at its relaxed geometry at the GGA-PBEsol level of DFT.

abc: 4.3773 4.3773 4.3773
angles: 90.00 90.00 90.00
Space group F-43m (No. 216)
One atom of each set of equivalent atoms:
Al 0.0000 0.0000 0.0000
N 0.2500 0.2500 0.2500

Calculated values
magnetic moment = 0.00 Bohr magnetons per cell
calculated volume = 83.9 Å³ per cell


Entry 10:
Computed, not measured: crystalline CsRbAs2Br at its relaxed geometry at the GGA-PBEsol level of DFT.

abc: 6.4217 6.4217 6.3313
angles: 90.00 90.00 90.00
Space group P4/mmm (No. 123)
One atom of each set of equivalent atoms:
Cs 0.0000 0.0000 0.0000
Rb 0.5000 0.5000 0.5000
As 0.0000 0.5000 0.5000
Br 0.5000 0.5000 0.0000

Calculated values
magnetic moment = 5.00 Bohr magnetons per cell
calculated volume = 261.1 Å³ per cell


Entry 11:
Computed, not measured: crystalline ScBe2Tc at its relaxed geometry at the GGA-PBEsol level of DFT.

abc: 3.8621 3.8621 16.1976
angles: 90.00 90.00 90.00
Space group I-42d (No. 122)
One atom of each set of equivalent atoms:
Sc 0.0000 0.0000 0.0000
Be 0.0834 0.2500 0.6250
Tc 0.0000 0.0000 0.5000

Calculated values
magnetic moment = 0.00 Bohr magnetons per cell
formation energy = 431 meV/atom
polymorph energy (0 for the lowest one) = 2.52 eV/f.u.
calculated volume = 241.6 Å³ per cell


Entry 12:
Computed, not measured: crystalline TaTiAlO6 at its relaxed geometry at the GGA-PBEsol level of DFT.

abc: 4.5788 4.5788 8.8591
angles: 90.00 90.00 90.00
Space group P4_2nm (No. 102)
One atom of each set of equivalent atoms:
Ta 0.0000 0.0000 0.0000
Ti 0.0000 0.0000 0.6649
Al 0.0000 0.0000 0.3338
O 0.1918 0.1918 0.4964
O 0.1959 0.1959 0.1717
O 0.2010 0.2010 0.8325

Calculated values
magnetic moment = 0.00 Bohr magnetons per cell
calculated volume = 185.7 Å³ per cell


Table of density of states at the Fermi level (states/eV/f.u.), in record order: 5.43; 17.14; 2.72; 1.11; 0.00; 3.97; 6.79; 7.16; 0.00; 2.63; 1.14; 0.00
Table of E_tot (eV per atom), in record order: -11.534; -7.664; -3.741; -6.162; -8.770; -7.427; -8.267; -3.292; -7.806; -2.491; -6.037; -9.241